Entry 1:
# VW (GGA-PBE, relaxed)
# Volume: 16.4 A^3/atom
# Formation energy from the elements: 646 meV per atom
data_VW
_chemical_formula_sum 'V6 W6'
_cell_length_a 7.2580
_cell_length_b 7.2580
_cell_length_c 4.3181
_cell_angle_alpha 90.00
_cell_angle_beta 90.00
_cell_angle_gamma 120.00
_symmetry_space_group_name_H-M 'P 63/m'
_symmetry_Int_Tables_number 176
_symmetry_space_group_name_Hall '-P 6c'
loop_
_atom_site_label
_atom_site_type_symbol
_atom_site_fract_x
_atom_site_fract_y
_atom_site_fract_z
V1 V 0.0943 0.8410 0.2500
W1 W 0.0971 0.6085 0.7500

---

Entry 2:
# VW (GGA-PBE, relaxed)
# Volume: 30.9 A^3/atom
# Formation energy from the elements: 2351 meV per atom
data_VW
_chemical_formula_sum 'V8 W8'
_cell_length_a 7.904
_cell_length_b 7.904
_cell_length_c 7.904
_cell_angle_alpha 90.00
_cell_angle_beta 90.00
_cell_angle_gamma 90.00
_symmetry_space_group_name_H-M 'I -4 3 m'
_symmetry_Int_Tables_number 217
_symmetry_space_group_name_Hall 'I -4 2 3'
loop_
_atom_site_label
_atom_site_type_symbol
_atom_site_fract_x
_atom_site_fract_y
_atom_site_fract_z
V1 V 0.174 0.174 0.174
W1 W 0.125 0.125 0.875

---

Entry 3:
# V3W7 (GGA-PBE, relaxed)
# Volume: 15.9 A^3/atom
# Formation energy from the elements: 329 meV per atom
data_V3W7
_chemical_formula_sum 'V6 W14'
_cell_length_a 8.3677
_cell_length_b 8.3677
_cell_length_c 5.2353
_cell_angle_alpha 90.00
_cell_angle_beta 90.00
_cell_angle_gamma 120.00
_symmetry_space_group_name_H-M 'P 63/m m c'
_symmetry_Int_Tables_number 194
_symmetry_space_group_name_Hall '-P 6c 2c'
loop_
_atom_site_label
_atom_site_type_symbol
_atom_site_fract_x
_atom_site_fract_y
_atom_site_fract_z
V1 V 0.2109 0.4219 0.2500
W1 W 0.0000 0.5000 0.0000
W2 W 0.1183 0.2365 0.7500
W3 W 0.3333 0.6667 0.7500

---

Entry 4:
# VW (GGA-PBE, relaxed)
# Volume: 16.4 A^3/atom
# Formation energy from the elements: 501 meV per atom
data_VW
_chemical_formula_sum 'V8 W8'
_cell_length_a 7.658
_cell_length_b 7.658
_cell_length_c 4.467
_cell_angle_alpha 90.00
_cell_angle_beta 90.00
_cell_angle_gamma 90.00
_symmetry_space_group_name_H-M 'I 4/m m m'
_symmetry_Int_Tables_number 139
_symmetry_space_group_name_Hall '-I 4 2'
loop_
_atom_site_label
_atom_site_type_symbol
_atom_site_fract_x
_atom_site_fract_y
_atom_site_fract_z
V1 V 0.000 0.321 0.000
W1 W 0.169 0.169 0.500

---

Entry 5:
# V4W3 (GGA-PBE, relaxed)
# Volume: 15.2 A^3/atom
# Offset from the most stable computed form: 0 meV per atom
# Formation energy from the elements: 278 meV per atom
data_V4W3
_chemical_formula_sum 'V8 W6'
_cell_length_a 13.776
_cell_length_b 2.579
_cell_length_c 6.861
_cell_angle_alpha 90.00
_cell_angle_beta 119.32
_cell_angle_gamma 90.00
_symmetry_space_group_name_H-M 'C 1 2/m 1'
_symmetry_Int_Tables_number 12
loop_
_symmetry_equiv_pos_as_xyz
'x,y,z'
'-x,-y,-z'
'-x,y,-z'
'x,-y,z'
'x+1/2,y+1/2,z'
'-x+1/2,-y+1/2,-z'
'-x+1/2,y+1/2,-z'
'x+1/2,-y+1/2,z'
loop_
_atom_site_label
_atom_site_type_symbol
_atom_site_fract_x
_atom_site_fract_y
_atom_site_fract_z
V1 V 0.069 0.000 0.434
V2 V 0.142 0.500 0.858
W1 W 0.000 0.000 0.000
W2 W 0.218 0.000 0.287

---

Entry 6:
# V3W13 (GGA-PBE, relaxed)
# Volume: 15.7 A^3/atom
# Formation energy from the elements: -65 meV per atom
data_V3W13
_chemical_formula_sum 'V6 W26'
_cell_length_a 6.314
_cell_length_b 8.905
_cell_length_c 8.927
_cell_angle_alpha 90.00
_cell_angle_beta 90.00
_cell_angle_gamma 90.00
_symmetry_space_group_name_H-M 'A m m 2'
_symmetry_Int_Tables_number 38
loop_
_symmetry_equiv_pos_as_xyz
'x,y,z'
'-x,-y,z'
'-x,y,z'
'x,-y,z'
'x,y+1/2,z+1/2'
'-x,-y+1/2,z+1/2'
'-x,y+1/2,z+1/2'
'x,-y+1/2,z+1/2'
loop_
_atom_site_label
_atom_site_type_symbol
_atom_site_fract_x
_atom_site_fract_y
_atom_site_fract_z
V1 V 0.000 0.000 0.000
V2 V 0.249 0.000 0.248
W1 W 0.000 0.000 0.496
W2 W 0.000 0.247 0.248
W3 W 0.249 0.000 0.750
W4 W 0.249 0.248 0.999
W5 W 0.500 0.000 0.001
W6 W 0.500 0.000 0.497
W7 W 0.500 0.247 0.249

---

Entry 7:
# VW5 (GGA-PBE, relaxed)
# Volume: 16.8 A^3/atom
# Offset from the most stable computed form: 726 meV per atom
# Formation energy from the elements: 664 meV per atom
data_VW5
_chemical_formula_sum 'V4 W20'
_cell_length_a 5.934
_cell_length_b 5.934
_cell_length_c 11.420
_cell_angle_alpha 90.00
_cell_angle_beta 90.00
_cell_angle_gamma 90.00
_symmetry_space_group_name_H-M 'I 4/m c m'
_symmetry_Int_Tables_number 140
_symmetry_space_group_name_Hall '-I 4 2c'
loop_
_atom_site_label
_atom_site_type_symbol
_atom_site_fract_x
_atom_site_fract_y
_atom_site_fract_z
V1 V 0.000 0.000 0.250
W1 W 0.000 0.000 0.000
W2 W 0.162 0.338 0.138

---

Entry 8:
# VW (GGA-PBE, relaxed)
# Volume: 14.8 A^3/atom
# Formation energy from the elements: -68 meV per atom
data_VW
_chemical_formula_sum 'V2 W2'
_cell_length_a 3.095
_cell_length_b 3.095
_cell_length_c 6.169
_cell_angle_alpha 90.00
_cell_angle_beta 90.00
_cell_angle_gamma 90.00
_symmetry_space_group_name_H-M 'P 4/n m m'
_symmetry_Int_Tables_number 129
loop_
_symmetry_equiv_pos_as_xyz
'x,y,z'
'-x,-y,-z'
'-y+1/2,x,z'
'y+1/2,-x,-z'
'-x+1/2,-y+1/2,z'
'x+1/2,y+1/2,-z'
'y,-x+1/2,z'
'-y,x+1/2,-z'
'x+1/2,-y,-z'
'-x+1/2,y,z'
'-y,-x,-z'
'y,x,z'
'-x,y+1/2,-z'
'x,-y+1/2,z'
'y+1/2,x+1/2,-z'
'-y+1/2,-x+1/2,z'
loop_
_atom_site_label
_atom_site_type_symbol
_atom_site_fract_x
_atom_site_fract_y
_atom_site_fract_z
V1 V 0.250 0.250 0.120
W1 W 0.250 0.250 0.631

---

Among the records above, which one has the highest formation energy from the elements? number 2

---

Look up the formation energy from the elements of the seventh one. 664 meV per atom

---

Look up the formation energy from the elements of the seventh one. 664 meV per atom